[1]
First-principles (PBE-GGA) data for a geometry-optimized LiTa2AgRu structure, as listed in the Alexandria database.

Summary:
V = 104 Å³ per cell
Electronic total energy = -6.572 eV per atom
D(E_F) = 4.58 states/eV/cell
Total magnetic moment = 0.000 Bohr magnetons per cell
Mass density = 9.2 g/cm³
Formation energy = 22.5 kcal/mol of atoms

Cell: 4.749 4.611 4.749 Å, 90.00 90.00 90.00°
Sites, in units of the cell vectors:
Ta 0.500 0.000 0.000
Ta 0.000 0.000 0.500
Ru 0.000 0.000 0.000
Li 0.000 0.500 0.000
Ag 0.500 0.500 0.500



[2]
First-principles (PBE-GGA) data for a geometry-optimized MnTl5S4 structure, as listed in the Alexandria database.

Summary:
V = 700 Å³ per cell
Energy relative to the elements, uncorrected = -0.359 eV/atom
Excess energy over the best structure of this formula in the dataset = 0.00 eV/f.u.
Electronic total energy = -4.110 eV per atom
Total magnetic moment = 8.000 Bohr magnetons per cell
Mass density = 5.7 g/cm³

Cell: 7.709 10.753 8.447 Å, 90.00 90.00 90.00°
Last column: magnetic moment on the atom in μB.
Sites, in units of the cell vectors:
S 0.226 0.000 0.245  0.00
S 0.008 0.301 0.500  0.00
S 0.992 0.199 0.000  0.00
S 0.992 0.801 0.000  0.00
S 0.008 0.699 0.500  0.00
S 0.774 0.500 0.745  0.00
S 0.226 0.000 0.755  0.00
S 0.774 0.500 0.255  0.00
Tl 0.264 0.733 0.238  0.01
Tl 0.264 0.733 0.762  0.01
Tl 0.736 0.233 0.738  0.01
Tl 0.027 0.500 0.000  0.02
Tl 0.264 0.267 0.762  0.01
Tl 0.736 0.767 0.262  0.01
Tl 0.264 0.267 0.238  0.01
Tl 0.736 0.767 0.738  0.01
Tl 0.973 0.000 0.500  0.02
Tl 0.736 0.233 0.262  0.01
Mn 0.102 0.000 0.000  3.45
Mn 0.898 0.500 0.500  3.45



[3]
First-principles (PBE-GGA) data for a geometry-optimized ScTi2V2 structure, as listed in the Alexandria database.

Summary:
V = 171 Å³ per cell
Excess energy over the best structure of this formula in the dataset = 0.21 eV/f.u.
Electronic total energy = -7.866 eV per atom
D(E_F) = 14.90 states/eV/cell
Total magnetic moment = 0.000 Bohr magnetons per cell
Mass density = 4.7 g/cm³
Formation energy = 4.7 kcal/mol of atoms

Cell: 7.353 7.353 3.162 Å, 90.00 90.00 90.00°
Sites, in units of the cell vectors:
Sc 0.500 0.500 0.000
Sc 0.000 0.000 0.000
V 0.644 0.856 0.500
V 0.356 0.144 0.500
V 0.144 0.644 0.500
V 0.856 0.356 0.500
Ti 0.640 0.140 0.000
Ti 0.360 0.860 0.000
Ti 0.860 0.640 0.000
Ti 0.140 0.360 0.000



[4]
First-principles (PBE-GGA) data for a geometry-optimized NbBr structure, as listed in the Alexandria database.

Summary:
V = 781 Å³ per cell
Energy relative to the elements, uncorrected = 0.224 eV/atom
Electronic total energy = -5.647 eV per atom
D(E_F) = 24.47 states/eV/cell
Total magnetic moment = 0.000 Bohr magnetons per cell
Mass density = 5.9 g/cm³

Cell: 8.001 10.855 8.993 Å, 90.00 90.00 90.00°
Sites, in units of the cell vectors:
Br 0.953 0.750 0.750
Br 0.203 0.000 0.000
Br 0.797 0.000 0.000
Br 0.297 0.000 0.500
Br 0.453 0.750 0.250
Br 0.203 0.500 0.500
Br 0.547 0.750 0.750
Br 0.297 0.500 0.000
Br 0.797 0.500 0.500
Br 0.047 0.250 0.750
Br 0.453 0.250 0.750
Br 0.703 0.500 0.000
Br 0.953 0.250 0.250
Br 0.547 0.250 0.250
Br 0.703 0.000 0.500
Br 0.047 0.750 0.250
Nb 0.250 0.866 0.750
Nb 0.250 0.134 0.250
Nb 0.500 0.384 0.500
Nb 0.250 0.366 0.250
Nb 0.000 0.616 0.000
Nb 0.750 0.866 0.250
Nb 0.500 0.884 0.000
Nb 0.500 0.116 0.000
Nb 0.500 0.616 0.500
Nb 0.250 0.634 0.750
Nb 0.000 0.884 0.500
Nb 0.000 0.384 0.000
Nb 0.000 0.116 0.500
Nb 0.750 0.134 0.750
Nb 0.750 0.634 0.250
Nb 0.750 0.366 0.750



[5]
First-principles (PBE-GGA) data for a geometry-optimized K3TaCr structure, as listed in the Alexandria database.

Summary:
V = 249 Å³ per cell
Electronic total energy = -2.824 eV per atom
D(E_F) = 28.04 states/eV/cell
Total magnetic moment = 5.390 Bohr magnetons per cell
Mass density = 2.3 g/cm³
Formation energy = 49.1 kcal/mol of atoms

Cell: 6.291 6.291 6.291 Å, 90.00 90.00 90.00°
Last column: magnetic moment on the atom in μB.
Sites, in units of the cell vectors:
Ta 0.500 0.500 0.500  0.02
K 0.000 0.500 0.000  0.02
K 0.500 0.000 0.000  0.03
K 0.000 0.000 0.500  0.02
Cr 0.000 0.000 0.000  4.32



[6]
First-principles (PBE-GGA) data for a geometry-optimized AgTePb structure, as listed in the Alexandria database.

Summary:
V = 83 Å³ per cell
Energy relative to the elements, uncorrected = 0.054 eV/atom
Electronic total energy = -3.180 eV per atom
D(E_F) = 1.23 states/eV/cell
Total magnetic moment = 0.000 Bohr magnetons per cell
Mass density = 8.9 g/cm³

Cell: 6.528 6.528 6.528 Å, 150.66 142.58 48.25°
Sites, in units of the cell vectors:
Pb 0.359 0.359 0.000
Te 0.636 0.636 0.000
Ag 0.005 0.005 0.000



[7]
First-principles (PBE-GGA) data for a geometry-optimized K2NbFe structure, as listed in the Alexandria database.

Summary:
V = 353 Å³ per cell
Excess energy over the best structure of this formula in the dataset = 0.00 eV/f.u.
Electronic total energy = -3.820 eV per atom
D(E_F) = 9.89 states/eV/cell
Total magnetic moment = 0.025 Bohr magnetons per cell
Mass density = 2.1 g/cm³
Formation energy = 31.4 kcal/mol of atoms

Cell: 12.782 12.782 9.293 Å, 46.55 46.55 90.00°
Sites, in units of the cell vectors:
Fe 0.500 0.500 0.000
Fe 0.250 0.750 0.500
Nb 0.000 0.000 0.000
Nb 0.750 0.250 0.500
K 0.375 0.547 0.750
K 0.453 0.125 0.250
K 0.297 0.625 0.250
K 0.875 0.703 0.750



[8]
First-principles (PBE-GGA) data for a geometry-optimized Li3BTe structure, as listed in the Alexandria database.

Summary:
V = 83 Å³ per cell
Energy relative to the elements, uncorrected = 0.190 eV/atom
Excess energy over the best structure of this formula in the dataset = 0.00 eV/f.u.
Electronic total energy = -2.922 eV per atom
D(E_F) = 2.09 states/eV/cell
Total magnetic moment = 0.000 Bohr magnetons per cell
Mass density = 3.2 g/cm³

Cell: 4.366 4.366 4.366 Å, 90.00 90.00 90.00°
Sites, in units of the cell vectors:
Te 0.500 0.500 0.500
Li 0.000 0.000 0.500
Li 0.500 0.000 0.000
Li 0.000 0.500 0.000
B 0.000 0.000 0.000



[9]
First-principles (PBE-GGA) data for a geometry-optimized TmLuGaCu structure, as listed in the Alexandria database.

Summary:
V = 83 Å³ per cell
Electronic total energy = -4.471 eV per atom
D(E_F) = 2.53 states/eV/cell
Total magnetic moment = 0.000 Bohr magnetons per cell
Mass density = 9.5 g/cm³
Formation energy = -10.2 kcal/mol of atoms

Cell: 4.906 4.906 4.906 Å, 60.00 60.00 60.00°
Sites, in units of the cell vectors:
Lu 0.000 0.000 0.000
Ga 0.750 0.750 0.750
Cu 0.250 0.250 0.250
Tm 0.500 0.500 0.500



[10]
First-principles (PBE-GGA) data for a geometry-optimized CoNi2Mo structure, as listed in the Alexandria database.

Summary:
V = 48 Å³ per cell
Excess energy over the best structure of this formula in the dataset = 0.37 eV/f.u.
Electronic total energy = -7.333 eV per atom
D(E_F) = 5.76 states/eV/cell
Total magnetic moment = 1.432 Bohr magnetons per cell
Mass density = 9.4 g/cm³
Formation energy = 1.0 kcal/mol of atoms

Cell: 3.708 2.572 5.675 Å, 62.91 90.00 90.00°
Last column: magnetic moment on the atom in μB.
Sites, in units of the cell vectors:
Ni 0.000 0.510 0.490  0.16
Ni 0.000 0.990 0.010  0.16
Co 0.500 0.250 0.250  1.20
Mo 0.500 0.750 0.750  -0.04



[11]
First-principles (PBE-GGA) data for a geometry-optimized SrRe3N structure, as listed in the Alexandria database.

Summary:
V = 78 Å³ per cell
Energy relative to the elements, uncorrected = 0.912 eV/atom
Excess energy over the best structure of this formula in the dataset = 0.00 eV/f.u.
Electronic total energy = -8.559 eV per atom
D(E_F) = 4.95 states/eV/cell
Total magnetic moment = 1.484 Bohr magnetons per cell
Mass density = 14.0 g/cm³

Cell: 4.281 4.281 4.281 Å, 90.00 90.00 90.00°
Last column: magnetic moment on the atom in μB.
Sites, in units of the cell vectors:
Re 0.000 0.500 0.000  0.49
Re 0.500 0.000 0.000  0.28
Re 0.000 0.000 0.500  0.51
N 0.000 0.000 0.000  -0.02
Sr 0.500 0.500 0.500  0.04



[12]
First-principles (PBE-GGA) data for a geometry-optimized Sm2H4Ir structure, as listed in the Alexandria database.

Summary:
V = 87 Å³ per cell
Electronic total energy = -4.947 eV per atom
D(E_F) = 4.90 states/eV/cell
Total magnetic moment = 0.002 Bohr magnetons per cell
Mass density = 9.4 g/cm³

Cell: 3.698 3.698 6.910 Å, 74.48 74.48 90.00°
Sites, in units of the cell vectors:
H 0.859 0.859 0.281
H 0.000 0.500 0.000
H 0.141 0.141 0.719
H 0.500 0.000 0.000
Ir 0.000 0.000 0.000
Sm 0.352 0.352 0.296
Sm 0.648 0.648 0.704